w) Below is Nd2TmGa after structural relaxation, with properties calculated at the GGA-PBE level.

The space group is P4/mmm (No. 123) and the conventional cell measures 3.609, 3.609 and 8.996 Å, with angles of 90.00, 90.00 and 90.00 degrees. The inequivalent atoms are Nd at (0.000, 0.000, 0.213), Tm at (0.500, 0.500, 0.500) and Ga at (0.500, 0.500, 0.000).

***

x) Below is Nd2TmGa after structural relaxation, with properties calculated at the GGA-PBE level.

The space group is Fm-3m (No. 225) and the conventional cell measures 7.659, 7.659 and 7.659 Å, with angles of 90.00, 90.00 and 90.00 degrees. The inequivalent atoms are Nd at (0.250, 0.250, 0.250), Tm at (0.000, 0.000, 0.000) and Ga at (0.000, 0.000, 0.500).

***

Computed energies relative to the best structure, in meV per atom: w) 0; x) 113

***

w) Below is NdTm2Ga6 after structural relaxation, with properties calculated at the GGA-PBE level.

The space group is Immm (No. 71) and the conventional cell measures 4.315, 7.070 and 13.121 Å, with angles of 90.00, 90.00 and 90.00 degrees. The inequivalent atoms are Nd at (0.000, 0.000, 0.000), Tm at (0.000, 0.500, 0.126), Ga at (0.000, 0.183, 0.500) and Ga at (0.000, 0.304, 0.314).

***

x) Below is NdTm2Ga6 after structural relaxation, with properties calculated at the GGA-PBE level.

The space group is P6/mmm (No. 191) and the conventional cell measures 7.3029, 7.3029 and 4.1381 Å, with angles of 90.00, 90.00 and 120.00 degrees. The inequivalent atoms are Nd at (0.0000, 0.0000, 0.0000), Tm at (0.3333, 0.6667, 0.0000) and Ga at (0.0000, 0.3351, 0.5000).

***

Computed energies relative to the best structure, in meV per atom: w) 126; x) 0

***

w) Below is NdY2Ga after structural relaxation, with properties calculated at the GGA-PBE level.

The space group is R-3m (No. 166, hexagonal axes) and the conventional cell measures 5.0498, 5.0498 and 15.8070 Å, with angles of 90.00, 90.00 and 120.00 degrees. The inequivalent atoms are Nd at (0.0000, 0.0000, 0.0000), Y at (0.0000, 0.0000, 0.2273) and Ga at (0.0000, 0.0000, 0.5000).

***

x) Below is NdY2Ga after structural relaxation, with properties calculated at the GGA-PBE level.

The space group is P4/mmm (No. 123) and the conventional cell measures 3.556, 3.556 and 9.014 Å, with angles of 90.00, 90.00 and 90.00 degrees. The inequivalent atoms are Nd at (0.000, 0.000, 0.000), Y at (0.500, 0.500, 0.296) and Ga at (0.000, 0.000, 0.500).

***

y) Below is NdY2Ga after structural relaxation, with properties calculated at the GGA-PBE level.

The space group is R3m (No. 160, hexagonal axes) and the conventional cell measures 3.6523, 3.6523 and 30.9190 Å, with angles of 90.00, 90.00 and 120.00 degrees. The inequivalent atoms are Nd at (0.0000, 0.0000, 0.0000), Y at (0.0000, 0.0000, 0.2365), Y at (0.0000, 0.0000, 0.4312) and Ga at (0.0000, 0.0000, 0.8342).

***

z) Below is NdY2Ga after structural relaxation, with properties calculated at the GGA-PBE level.

The space group is Cmcm (No. 63) and the conventional cell measures 4.259, 12.271 and 9.099 Å, with angles of 90.00, 90.00 and 90.00 degrees. The inequivalent atoms are Nd at (0.000, 0.062, 0.250), Y at (0.000, 0.356, 0.056) and Ga at (0.000, 0.249, 0.750).

***

Computed energies relative to the best structure, in meV per atom: w) 264; x) 0; y) 91; z) 37

***

w) Below is NdY3Ga2 after structural relaxation, with properties calculated at the GGA-PBE level.

The space group is Pmc2_1 (No. 26) and the conventional cell measures 4.987, 9.620 and 6.654 Å, with angles of 90.00, 90.00 and 90.00 degrees. The inequivalent atoms are Nd at (0.000, 0.050, 0.000), Y at (0.000, 0.325, 0.628), Y at (0.500, 0.185, 0.291), Y at (0.500, 0.445, 0.923), Ga at (0.000, 0.363, 0.170) and Ga at (0.500, 0.142, 0.747).

***

x) Below is NdY3Ga2 after structural relaxation, with properties calculated at the GGA-PBE level.

The space group is C2/m (No. 12) and the conventional cell measures 16.224, 5.127 and 8.905 Å, with angles of 90.00, 116.94 and 90.00 degrees. The inequivalent atoms are Nd at (0.129, 0.000, 0.189), Y at (0.062, 0.000, 0.717), Y at (0.125, 0.500, 0.505), Y at (0.188, 0.500, 0.992), Ga at (0.011, 0.500, 0.149) and Ga at (0.225, 0.000, 0.620).

***

Computed energies relative to the best structure, in meV per atom: w) 0; x) 86